(1)
Below is a relaxed structure of SmHoIn, with properties calculated at the PBE-GGA level.

CIF file:
```
data_SmHoIn
_cell_length_a 5.4365
_cell_length_b 5.4365
_cell_length_c 6.7781
_cell_angle_alpha 90.00
_cell_angle_beta 90.00
_cell_angle_gamma 120.00
_space_group_name_H-M_alt 'P 1'
_space_group_IT_number 1
_space_group_name_Hall 'P 1'
loop_
_atom_site_label
_atom_site_fract_x
_atom_site_fract_y
_atom_site_fract_z
Ho1 0.0000 0.0000 0.0000
Ho2 0.0000 0.0000 0.5000
In1 0.3333 0.6667 0.7500
In2 0.6667 0.3333 0.2500
Sm1 0.3333 0.6667 0.2500
Sm2 0.6667 0.3333 0.7500
```

- SG: P6_3/mmc, No. 194
- Polymorph energy (0 for the lowest one): 0.0 meV per atom

=====

(2)
Below is a relaxed structure of SmHoIn4, with properties calculated at the PBE-GGA level.

CIF file:
```
data_SmHoIn4
_cell_length_a 4.6558
_cell_length_b 7.4944
_cell_length_c 7.4944
_cell_angle_alpha 35.94
_cell_angle_beta 90.00
_cell_angle_gamma 90.00
_space_group_name_H-M_alt 'P 1'
_space_group_IT_number 1
_space_group_name_Hall 'P 1'
loop_
_atom_site_label
_atom_site_fract_x
_atom_site_fract_y
_atom_site_fract_z
In1 0.5000 0.8265 0.8265
In2 0.5000 0.1766 0.1766
In3 0.5000 0.4983 0.4983
In4 0.0000 0.9985 0.9985
Sm1 0.0000 0.6549 0.6549
Ho1 0.0000 0.3452 0.3452
```

- SG: Amm2, No. 38
- Total DFT energy (no corrections): -22.92 eV for the cell shown

=====

(3)
Below is a relaxed structure of Sm5HoIn3, with properties calculated at the PBE-GGA level.

CIF file:
```
data_Sm5HoIn3
_cell_length_a 9.4832
_cell_length_b 9.4832
_cell_length_c 6.8250
_cell_angle_alpha 90.00
_cell_angle_beta 90.00
_cell_angle_gamma 60.01
_space_group_name_H-M_alt 'P 1'
_space_group_IT_number 1
_space_group_name_Hall 'P 1'
loop_
_atom_site_label
_atom_site_fract_x
_atom_site_fract_y
_atom_site_fract_z
Sm1 0.0000 0.6641 0.7500
Sm2 0.6641 0.0000 0.2500
Sm3 0.6642 0.3358 0.7500
Sm4 0.0000 0.3359 0.2500
Sm5 0.3359 0.0000 0.7500
Sm6 0.6667 0.6667 0.5000
Sm7 0.3333 0.3333 0.5000
Sm8 0.3358 0.6642 0.2500
Sm9 0.3333 0.3333 0.0000
Sm10 0.6667 0.6667 0.0000
In1 0.0000 0.3283 0.7500
In2 0.6717 0.0000 0.7500
In3 0.3283 0.6717 0.7500
In4 0.0000 0.6717 0.2500
In5 0.3283 0.0000 0.2500
In6 0.6717 0.3283 0.2500
Ho1 0.0000 0.0000 0.5000
Ho2 0.0000 0.0000 0.0000
```

- SG: P6_3/mcm, No. 193
- Total DFT energy (no corrections): -79.02 eV for the cell shown

=====

| no. | calculated density (g/cm3) |
| --- | --- |
| 1 | 8.234 |
| 2 | 8.380 |
| 3 | 7.879 |